# TlFeF2

A relaxed structure of TlFeF2 (PBE with a Hubbard U, the Alexandria database).

```
4
Lattice="0.0000 3.1482 3.1482 3.1482 0.0000 3.1482 3.1482 3.1482 0.0000" Properties=species:S:1:pos:R:3 pbc="T T T"
Tl 3.1482 3.1482 3.1482
Fe 0.0000 0.0000 0.0000
F 1.5741 1.5741 1.5741
F 4.7223 4.7223 4.7223
```

Calculated values
space group: No. 225
VASP energy: -16.11 eV for the cell shown